Computed, not measured: a relaxed structure of LiInCl4 at the PBE level of DFT.

Unit cell a=8.6877 b=8.6877 c=8.6877 alpha=90.00 beta=90.00 gamma=90.00
Closest atoms and distances in Å follow each position.
Space group F-43m (No. 216)
Asymmetric unit:
Li (0.0000, 0.0000, 0.0000) (multiplicity 4)  12 Cl 3.60, 4 In 3.76
In (0.2500, 0.2500, 0.2500) (multiplicity 4)  12 Cl 3.60, 4 Li 3.76
Cl (0.1250, 0.1250, 0.6250) (multiplicity 16)  6 Cl 3.07

Summary:
Magnetization (μB per formula unit): 2.0
E_form (uncorrected) (eV per atom): -0.21
N(E_F) (states/eV per atom): 0.11
Mass density (g/cm3): 2.67
Energy above the lowest structure with this stoichiometry (meV/atom): 1123